Here is SrTbPt4 after structural relaxation from Alexandria via LeMat-Bulk. Energies are from GGA-PBE.

## Properties
**Crystal system**: cubic
**E_form**: -0.97 eV/atom
**Total DFT energy (no corrections)**: -6.04 eV/atom

Unit cell a=7.787 b=7.787 c=7.787 alpha=90.00 beta=90.00 gamma=90.00
Space group F-43m (No. 216)
Symmetry-distinct sites (fractional):
Sr 0.000 0.000 0.000 x4
Tb 0.250 0.250 0.250 x4
Pt 0.125 0.125 0.625 x16